This record from Alexandria via LeMat-Bulk describes crystalline AlAs2Au at its relaxed geometry. The functional is PBE. Values from VASP.

Output
E_form = 19 kJ per mole of atoms

Geometry as Quantum ESPRESSO input:
```
&SYSTEM
  ibrav = 0, nat = 4, ntyp = 3
/
ATOMIC_SPECIES
Au 196.97 Au.upf
As 74.92 As.upf
Al 26.98 Al.upf
ATOMIC_POSITIONS crystal
Au 0.500 0.000 0.500
As 0.500 0.500 0.000
As 0.000 0.000 0.000
Al 0.000 0.500 0.500
CELL_PARAMETERS angstrom
-1.065 2.969 -1.737
-4.237 -2.192 -1.148
-1.741 1.480 3.597
```


This record from Alexandria via LeMat-Bulk describes crystalline Rb2SnB at its relaxed geometry. The functional is PBE. Values from VASP.

Output
ΔE to the lowest computed polymorph = 0 meV/atom
E_form = 49 kJ per mole of atoms

Geometry as Quantum ESPRESSO input:
```
&SYSTEM
  ibrav = 0, nat = 8, ntyp = 3
/
ATOMIC_SPECIES
B 10.81 B.upf
Rb 85.47 Rb.upf
Sn 118.71 Sn.upf
ATOMIC_POSITIONS crystal
B 0.250 0.750 0.500
B 0.500 0.500 0.000
Rb 0.875 0.653 0.750
Rb 0.403 0.125 0.250
Rb 0.347 0.625 0.250
Rb 0.375 0.597 0.750
Sn 0.000 0.000 0.000
Sn 0.750 0.250 0.500
CELL_PARAMETERS angstrom
-8.070 -3.887 -9.754
6.188 -11.699 -0.458
-2.341 -8.591 -3.630
```


This record from Alexandria via LeMat-Bulk describes crystalline Tl2Cd5In2Hg2 at its relaxed geometry. The functional is PBE. Values from VASP.

Output
E_form = 11 kJ per mole of atoms

Geometry as Quantum ESPRESSO input:
```
&SYSTEM
  ibrav = 0, nat = 11, ntyp = 4
/
ATOMIC_SPECIES
Tl 204.38 Tl.upf
Cd 112.41 Cd.upf
In 114.82 In.upf
Hg 200.59 Hg.upf
ATOMIC_POSITIONS crystal
Tl 0.221 0.221 0.443
Tl 0.779 0.779 0.557
Cd 0.631 0.131 0.262
Cd 0.131 0.631 0.262
Cd 0.369 0.869 0.738
Cd 0.000 0.000 0.000
Cd 0.869 0.369 0.738
In 0.309 0.309 0.617
In 0.691 0.691 0.383
Hg 0.073 0.073 0.147
Hg 0.927 0.927 0.853
CELL_PARAMETERS angstrom
4.323 0.000 0.000
0.000 4.323 0.000
-2.161 -2.161 18.800
```


no.,Fermi-level density of states (states/eV/f.u.)
1,1.32
2,2.60
3,4.36